1.
First-principles (PBE) data for a geometry-optimized MgCo structure, as listed in the Alexandria database.

The space group is Fddd (No. 70, origin choice 2) and the conventional cell measures 4.797, 7.760 and 13.411 Å, with angles of 90.00, 90.00 and 90.00 degrees. Symmetry generates all atoms from Mg at (0.125, 0.294, 0.125) and Co at (0.125, 0.125, 0.542).

Its total energy is -4.12 eV per atom. The density of states at the Fermi level is 19.97 states/eV per cell. As for the crystal system: orthorhombic. The formation energy from the elements is 0.23 eV/atom.


2.
First-principles (PBE) data for a geometry-optimized Mg2Co3 structure, as listed in the Alexandria database.

The space group is R-3m (No. 166, hexagonal axes) and the conventional cell measures 2.7339, 2.7339 and 31.9796 Å, with angles of 90.00, 90.00 and 120.00 degrees. Symmetry generates all atoms from Mg at (0.0000, 0.0000, 0.0981), Co at (0.0000, 0.0000, 0.3048) and Co at (0.0000, 0.0000, 0.5000).

Its total energy is -4.63 eV per atom. The density of states at the Fermi level is 17.81 states/eV per cell. As for the crystal system: trigonal. The formation energy from the elements is 0.27 eV/atom.


3.
First-principles (PBE) data for a geometry-optimized MgCo5 structure, as listed in the Alexandria database.

The space group is P4/mmm (No. 123) and the conventional cell measures 2.914, 2.914 and 8.556 Å, with angles of 90.00, 90.00 and 90.00 degrees. Symmetry generates all atoms from Mg at (0.000, 0.000, 0.000), Co at (0.000, 0.000, 0.348), Co at (0.500, 0.500, 0.201) and Co at (0.500, 0.500, 0.500).

Its total energy is -6.09 eV per atom. The density of states at the Fermi level is 5.97 states/eV per cell. As for the crystal system: tetragonal. The formation energy from the elements is 0.10 eV/atom.